Ca5Co2H12 (PBE, optimized geometry); Fermi-level density of states = 4.2 states/eV/cell; uncorrected energy = -3.77 eV/atom
1.0
5.562 0.000 0.000
-2.781 5.768 -0.059
0.000 -2.095 6.882
Ca Co H
5 2 12
direct
0.330 0.660 0.661
0.306 0.612 0.153
0.000 0.000 0.500
0.694 0.388 0.847
0.670 0.340 0.339
0.757 0.000 0.000
0.243 0.000 0.000
0.001 0.002 0.147
0.108 0.701 0.927
0.593 0.701 0.927
0.087 0.678 0.415
0.591 0.678 0.415
0.508 0.016 0.869
0.492 0.984 0.131
0.913 0.322 0.585
0.409 0.322 0.585
0.892 0.299 0.073
0.407 0.299 0.073
0.999 0.998 0.853

Li2Pt2RhO6 (PBE, optimized geometry); Fermi-level density of states = 3.8 states/eV/cell; uncorrected formation energy = -849 meV/atom
1.0
5.435 0.114 0.024
-2.587 4.782 0.024
-1.055 -1.814 4.751
Li Pt Rh O
2 2 1 6
direct
0.832 0.168 0.000
0.168 0.832 0.000
0.337 0.663 0.500
0.663 0.337 0.500
0.000 0.000 0.500
0.759 0.759 0.714
0.064 0.408 0.714
0.241 0.241 0.286
0.408 0.064 0.714
0.936 0.592 0.286
0.592 0.936 0.286

LiTlTcI6 (PBE, optimized geometry); uncorrected formation energy = -434 meV/atom
1.0
7.493 0.000 0.000
-3.746 6.489 0.000
0.000 0.000 14.756
Li Tl Tc I
2 2 2 12
direct
0.333 0.667 0.250
0.667 0.333 0.750
0.000 0.000 0.000
0.000 0.000 0.500
0.667 0.333 0.250
0.333 0.667 0.750
0.638 0.617 0.142
0.979 0.362 0.142
0.362 0.979 0.642
0.021 0.638 0.858
0.383 0.362 0.358
0.979 0.617 0.358
0.617 0.979 0.858
0.638 0.021 0.358
0.021 0.383 0.642
0.383 0.021 0.142
0.617 0.638 0.642
0.362 0.383 0.858

SrUGeO6 (PBE, optimized geometry); Fermi-level density of states = 0.0 states/eV/cell; uncorrected formation energy = -2592 meV/atom
1.0
5.371 0.000 0.000
-2.686 4.652 0.000
0.000 0.000 10.812
Sr U Ge O
2 2 2 12
direct
0.000 0.000 0.000
0.000 0.000 0.500
0.333 0.667 0.250
0.667 0.333 0.750
0.667 0.333 0.250
0.333 0.667 0.750
0.641 0.618 0.149
0.977 0.359 0.149
0.359 0.977 0.649
0.023 0.641 0.851
0.382 0.359 0.351
0.977 0.618 0.351
0.618 0.977 0.851
0.641 0.023 0.351
0.023 0.382 0.649
0.382 0.023 0.149
0.618 0.641 0.649
0.359 0.382 0.851